Record 1
Computed, not measured: NaBeH after structural relaxation at the PBE level of DFT.

Summary:
Density of states at the Fermi level: 0.445 states/eV/cell
Uncorrected energy: -2.6627 eV/atom

```
data_NaBeH
_symmetry_space_group_name_H-M 'P -1'
_symmetry_Int_Tables_number 2
_symmetry_space_group_name_Hall '-P 1'
_cell_length_a 4.0221
_cell_length_b 5.7024
_cell_length_c 5.7435
_cell_angle_alpha 101.41
_cell_angle_beta 108.71
_cell_angle_gamma 107.70
loop_
_atom_site_label
_atom_site_type_symbol
_atom_site_fract_x
_atom_site_fract_y
_atom_site_fract_z
Na1 Na 0.0000 0.0000 0.0000
Na2 Na 0.0000 0.5000 0.5000
Be1 Be 0.2692 0.0149 0.5155
H1 H 0.3272 0.8278 0.3291
```


Record 2
Computed, not measured: TbTh2Ge3Pt4 after structural relaxation at the PBE level of DFT.

Summary:
Density of states at the Fermi level: 7.679 states/eV/cell
ΔE_f: -0.94 eV/atom

```
data_TbTh2Ge3Pt4
_symmetry_space_group_name_H-M 'P -4 m 2'
_symmetry_Int_Tables_number 115
_symmetry_space_group_name_Hall 'P -4 -2'
_cell_length_a 4.2961
_cell_length_b 4.2961
_cell_length_c 11.2974
_cell_angle_alpha 90.00
_cell_angle_beta 90.00
_cell_angle_gamma 90.00
loop_
_atom_site_label
_atom_site_type_symbol
_atom_site_fract_x
_atom_site_fract_y
_atom_site_fract_z
Tb1 Tb 0.0000 0.0000 0.0000
Th1 Th 0.0000 0.5000 0.7194
Ge1 Ge 0.0000 0.5000 0.3765
Ge2 Ge 0.5000 0.5000 0.0000
Pt1 Pt 0.0000 0.0000 0.5000
Pt2 Pt 0.0000 0.5000 0.1588
Pt3 Pt 0.5000 0.5000 0.5000
```


Record 3
Computed, not measured: TbPm7Tm12 after structural relaxation at the PBE level of DFT.

Summary:
Density of states at the Fermi level: 106.756 states/eV/cell
ΔE_f: 0.23 eV/atom

```
data_TbPm7Tm12
_symmetry_space_group_name_H-M 'R -3'
_symmetry_Int_Tables_number 148
_symmetry_space_group_name_Hall '-R 3'
_cell_length_a 11.8793
_cell_length_b 11.8793
_cell_length_c 16.1454
_cell_angle_alpha 90.00
_cell_angle_beta 90.00
_cell_angle_gamma 120.00
loop_
_atom_site_label
_atom_site_type_symbol
_atom_site_fract_x
_atom_site_fract_y
_atom_site_fract_z
Tb1 Tb 0.0000 0.0000 0.0000
Pm1 Pm 0.0000 0.0000 0.5000
Pm2 Pm 0.0535 0.1887 0.7903
Tm1 Tm 0.0226 0.4480 0.7204
Tm2 Tm 0.0508 0.5863 0.0834
```


Record 4
Computed, not measured: La2Pm3Rh2 after structural relaxation at the PBE level of DFT.

Summary:
Density of states at the Fermi level: 16.367 states/eV/cell
ΔE_f: -0.50 eV/atom

```
data_La2Pm3Rh2
_symmetry_space_group_name_H-M 'C 1 2/m 1'
_symmetry_Int_Tables_number 12
_symmetry_space_group_name_Hall '-C 2y'
_cell_length_a 12.4166
_cell_length_b 3.8942
_cell_length_c 9.2812
_cell_angle_alpha 90.00
_cell_angle_beta 114.51
_cell_angle_gamma 90.00
loop_
_atom_site_label
_atom_site_type_symbol
_atom_site_fract_x
_atom_site_fract_y
_atom_site_fract_z
La1 La 0.1689 0.0000 0.3078
Pm1 Pm 0.0000 0.5000 0.5000
Pm2 Pm 0.1160 0.5000 0.9230
Rh1 Rh 0.1788 0.0000 0.7423
```


Record 5
Computed, not measured: TbNd5Sm12 after structural relaxation at the PBE level of DFT.

Summary:
Density of states at the Fermi level: 47.688 states/eV/cell
ΔE_f: 0.01 eV/atom

```
data_TbNd5Sm12
_symmetry_space_group_name_H-M 'C 1 2/m 1'
_symmetry_Int_Tables_number 12
_symmetry_space_group_name_Hall '-C 2y'
_cell_length_a 18.8985
_cell_length_b 10.9256
_cell_length_c 6.2978
_cell_angle_alpha 90.00
_cell_angle_beta 109.25
_cell_angle_gamma 90.00
loop_
_atom_site_label
_atom_site_type_symbol
_atom_site_fract_x
_atom_site_fract_y
_atom_site_fract_z
Tb1 Tb 0.0000 0.0000 0.0000
Nd1 Nd 0.0000 0.5000 0.5000
Nd2 Nd 0.1661 0.0000 0.4983
Nd3 Nd 0.1666 0.5000 0.0005
Sm1 Sm 0.0000 0.1660 0.5000
Sm2 Sm 0.0000 0.3319 0.0000
Sm3 Sm 0.1661 0.1666 0.9991
Sm4 Sm 0.1667 0.3328 0.5007
```


Record 6
Computed, not measured: TiH after structural relaxation at the PBE level of DFT.

Summary:
Density of states at the Fermi level: 8.130 states/eV/cell
Uncorrected energy: -5.9652 eV/atom

```
data_TiH
_symmetry_space_group_name_H-M 'F m -3 m'
_symmetry_Int_Tables_number 225
_symmetry_space_group_name_Hall '-F 4 2 3'
_cell_length_a 4.1778
_cell_length_b 4.1778
_cell_length_c 4.1778
_cell_angle_alpha 90.00
_cell_angle_beta 90.00
_cell_angle_gamma 90.00
loop_
_atom_site_label
_atom_site_type_symbol
_atom_site_fract_x
_atom_site_fract_y
_atom_site_fract_z
Ti1 Ti 0.0000 0.0000 0.0000
H1 H 0.0000 0.0000 0.5000
```


Record 7
Computed, not measured: Ce4ZnGe8 after structural relaxation at the PBE level of DFT.

Summary:
Density of states at the Fermi level: 18.251 states/eV/cell
ΔE_f: -0.54 eV/atom

```
data_Ce4ZnGe8
_symmetry_space_group_name_H-M 'P m m 2'
_symmetry_Int_Tables_number 25
_symmetry_space_group_name_Hall 'P 2 -2'
_cell_length_a 4.0431
_cell_length_b 4.2147
_cell_length_c 16.7555
_cell_angle_alpha 90.00
_cell_angle_beta 90.00
_cell_angle_gamma 90.00
loop_
_atom_site_label
_atom_site_type_symbol
_atom_site_fract_x
_atom_site_fract_y
_atom_site_fract_z
Ce1 Ce 0.0000 0.0000 0.0000
Ce2 Ce 0.0000 0.5000 0.4838
Ce3 Ce 0.5000 0.0000 0.7892
Ce4 Ce 0.5000 0.5000 0.2783
Zn1 Zn 0.0000 0.5000 0.7132
Ge1 Ge 0.0000 0.0000 0.3307
Ge2 Ge 0.0000 0.0000 0.6244
Ge3 Ge 0.0000 0.5000 0.1377
Ge4 Ge 0.0000 0.5000 0.8593
Ge5 Ge 0.5000 0.0000 0.1407
Ge6 Ge 0.5000 0.0000 0.4286
Ge7 Ge 0.5000 0.5000 0.6227
Ge8 Ge 0.5000 0.5000 0.9537
```


Record 8
Computed, not measured: LaTlIn2Ir after structural relaxation at the PBE level of DFT.

Summary:
Density of states at the Fermi level: 2.970 states/eV/cell
ΔE_f: -0.36 eV/atom

```
data_LaTlIn2Ir
_symmetry_space_group_name_H-M 'P 4/m m m'
_symmetry_Int_Tables_number 123
_symmetry_space_group_name_Hall '-P 4 2'
_cell_length_a 5.2424
_cell_length_b 5.2424
_cell_length_c 5.4050
_cell_angle_alpha 90.00
_cell_angle_beta 90.00
_cell_angle_gamma 90.00
loop_
_atom_site_label
_atom_site_type_symbol
_atom_site_fract_x
_atom_site_fract_y
_atom_site_fract_z
La1 La 0.0000 0.0000 0.0000
Tl1 Tl 0.5000 0.5000 0.0000
In1 In 0.0000 0.5000 0.5000
Ir1 Ir 0.0000 0.0000 0.5000
```


Record 9
Computed, not measured: BaNaMg2Pb2 after structural relaxation at the PBE level of DFT.

Summary:
Density of states at the Fermi level: 2.836 states/eV/cell
ΔE_f: -0.31 eV/atom

```
data_BaNaMg2Pb2
_symmetry_space_group_name_H-M 'P -3 m 1'
_symmetry_Int_Tables_number 164
_symmetry_space_group_name_Hall '-P 3 2"'
_cell_length_a 5.1053
_cell_length_b 5.1053
_cell_length_c 8.1998
_cell_angle_alpha 90.00
_cell_angle_beta 90.00
_cell_angle_gamma 120.00
loop_
_atom_site_label
_atom_site_type_symbol
_atom_site_fract_x
_atom_site_fract_y
_atom_site_fract_z
Ba1 Ba 0.0000 0.0000 0.0000
Na1 Na 0.0000 0.0000 0.5000
Mg1 Mg 0.3333 0.6667 0.6601
Pb1 Pb 0.3333 0.6667 0.2626
```


Record 10
Computed, not measured: ZrBe2Pb after structural relaxation at the PBE level of DFT.

Summary:
Density of states at the Fermi level: 10.927 states/eV/cell
ΔE_f: 0.66 eV/atom

```
data_ZrBe2Pb
_symmetry_space_group_name_H-M 'R -3 m'
_symmetry_Int_Tables_number 166
_symmetry_space_group_name_Hall '-R 3 2"'
_cell_length_a 3.1500
_cell_length_b 3.1500
_cell_length_c 27.3591
_cell_angle_alpha 90.00
_cell_angle_beta 90.00
_cell_angle_gamma 120.00
loop_
_atom_site_label
_atom_site_type_symbol
_atom_site_fract_x
_atom_site_fract_y
_atom_site_fract_z
Zr1 Zr 0.0000 0.0000 0.0000
Be1 Be 0.0000 0.0000 0.2566
Pb1 Pb 0.0000 0.0000 0.5000
```


Record 11
Computed, not measured: CeTiAs2 after structural relaxation at the PBE level of DFT.

Summary:
Density of states at the Fermi level: 19.495 states/eV/cell
ΔE_f: -1.13 eV/atom

```
data_CeTiAs2
_symmetry_space_group_name_H-M 'P n m a'
_symmetry_Int_Tables_number 62
_symmetry_space_group_name_Hall '-P 2ac 2n'
_cell_length_a 6.7409
_cell_length_b 3.9871
_cell_length_c 12.9212
_cell_angle_alpha 90.00
_cell_angle_beta 90.00
_cell_angle_gamma 90.00
loop_
_atom_site_label
_atom_site_type_symbol
_atom_site_fract_x
_atom_site_fract_y
_atom_site_fract_z
Ce1 Ce 0.0945 0.2500 0.1421
Ti1 Ti 0.0838 0.7500 0.4000
As1 As 0.1573 0.2500 0.7549
As2 As 0.2424 0.2500 0.4925
```


Record 12
Computed, not measured: Sm2CdSb after structural relaxation at the PBE level of DFT.

Summary:
Density of states at the Fermi level: 3.456 states/eV/cell
Formation energy without anion corrections: -2.61 eV/f.u.

```
data_Sm2CdSb
_symmetry_space_group_name_H-M 'P 4/m m m'
_symmetry_Int_Tables_number 123
_symmetry_space_group_name_Hall '-P 4 2'
_cell_length_a 4.0038
_cell_length_b 4.0038
_cell_length_c 6.9704
_cell_angle_alpha 90.00
_cell_angle_beta 90.00
_cell_angle_gamma 90.00
loop_
_atom_site_label
_atom_site_type_symbol
_atom_site_fract_x
_atom_site_fract_y
_atom_site_fract_z
Sm1 Sm 0.0000 0.0000 0.2436
Cd1 Cd 0.5000 0.5000 0.5000
Sb1 Sb 0.5000 0.5000 0.0000
```